# 1
Crystalline Tm6Ni2N at its relaxed geometry. Source: Alexandria, functional PBE-GGA.

```
Tm6Ni2N
1.0
6.240 0.000 0.000
0.000 6.726 0.000
-6.047 0.000 9.289
Tm Ni N
12 4 2
Cartesian
-0.714 0.246 2.243
-3.737 3.117 6.887
1.120 4.663 0.571
-1.904 5.427 5.216
1.946 1.214 0.558
-1.077 2.149 5.203
1.270 4.577 4.086
-1.753 5.512 8.731
2.097 1.299 4.073
-0.927 2.064 8.717
3.930 3.609 2.402
0.907 6.480 7.046
-2.730 0.609 7.009
0.294 2.754 2.364
-0.101 3.972 6.924
2.923 6.117 2.280
0.000 0.000 0.000
-3.024 3.363 4.644
```

The uncorrected formation energy is -5.59 eV/f.u. The value obtained for the volume is 390 Å³ per cell. The size of the total moment is 0.000 μB per cell.

# 2
Crystalline U2NiN at its relaxed geometry. Source: Alexandria, functional PBE-GGA.

```
U2NiN
1.0
1.508 0.871 8.119
-1.508 0.871 8.119
0.000 -1.741 8.119
U Ni N
2 1 1
Cartesian
0.000 0.000 2.504
0.000 0.000 21.852
0.000 0.000 0.000
0.000 0.000 12.178
```

The uncorrected formation energy is -0.93 eV/f.u. The value obtained for the volume is 64 Å³ per cell. The size of the total moment is 0.767 μB per cell.

# 3
Crystalline UNiN2 at its relaxed geometry. Source: Alexandria, functional PBE-GGA.

```
UNiN2
1.0
1.787 1.032 5.318
-1.787 1.032 5.318
0.000 -2.064 5.318
U Ni N
1 1 2
Cartesian
0.000 0.000 0.000
0.000 0.000 7.977
0.000 0.000 6.181
0.000 0.000 9.774
```

The uncorrected formation energy is -3.38 eV/f.u. The value obtained for the volume is 59 Å³ per cell. The size of the total moment is 0.000 μB per cell.

# 4
Crystalline V3NiN at its relaxed geometry. Source: Alexandria, functional PBE-GGA.

```
V3NiN
1.0
3.878 0.000 0.000
0.000 3.878 0.000
0.000 0.000 3.878
V Ni N
3 1 1
Cartesian
0.000 0.000 1.939
0.000 1.939 0.000
1.939 0.000 0.000
1.939 1.939 1.939
0.000 0.000 0.000
```

The uncorrected formation energy is -2.71 eV/f.u. The value obtained for the volume is 58 Å³ per cell. The size of the total moment is 0.000 μB per cell.